Material: MnTcI2
Method: DFT, PBE
State: relaxed

## Properties
E_form (uncorrected): 0.831 eV per atom
total magnetic moment: 4.6 Bohr magnetons per cell
energy relative to the lowest polymorph listed for this composition: 0 meV per atom

Cell lengths 7.612, 7.612, 7.612 Å; angles 132.80, 132.80, 68.97 degrees
Atoms (fractional coordinates):
Mn: 0.000 0.000 0.000
Mn: 0.750 0.250 0.500
Tc: 0.250 0.750 0.500
Tc: 0.500 0.500 0.000
I: 0.129 0.625 0.004
I: 0.375 0.379 0.504
I: 0.621 0.125 0.996
I: 0.875 0.871 0.496



Material: Li3CuC
Method: DFT, PBE
State: relaxed

## Properties
total magnetic moment: 0.0 Bohr magnetons per cell
energy relative to the lowest polymorph listed for this composition: 0 meV per atom
E_form: 0.58 eV per atom

Cell lengths 3.981, 3.981, 3.981 Å; angles 90.00, 90.00, 90.00 degrees
Atoms (fractional coordinates):
Li: 0.000 0.000 0.500
Li: 0.000 0.500 0.000
Li: 0.500 0.000 0.000
Cu: 0.500 0.500 0.500
C: 0.000 0.000 0.000



Material: SrCa2GaNi
Method: DFT, PBE
State: relaxed

## Properties
total magnetic moment: 0.0 Bohr magnetons per cell
E_form: -0.15 eV per atom

Cell lengths 5.475, 5.475, 4.815 Å; angles 90.00, 90.00, 90.00 degrees
Atoms (fractional coordinates):
Sr: 0.000 0.000 0.000
Ca: 0.000 0.500 0.500
Ca: 0.500 0.000 0.500
Ga: 0.500 0.500 0.000
Ni: 0.500 0.500 0.500



Material: Ho3CoNi
Method: DFT, PBE
State: relaxed

## Properties
total magnetic moment: 0.0 Bohr magnetons per cell
energy relative to the lowest polymorph listed for this composition: 0 meV per atom
E_form: -0.25 eV per atom

Cell lengths 3.861, 9.190, 6.152 Å; angles 90.00, 90.00, 90.00 degrees
Atoms (fractional coordinates):
Ho: 0.250 0.059 0.242
Ho: 0.250 0.250 0.751
Ho: 0.250 0.441 0.242
Ho: 0.750 0.559 0.758
Ho: 0.750 0.750 0.249
Ho: 0.750 0.941 0.758
Co: 0.250 0.750 0.945
Co: 0.750 0.250 0.055
Ni: 0.250 0.750 0.559
Ni: 0.750 0.250 0.441



Material: LiSiTe2I
Method: DFT, PBE
State: relaxed

## Properties
E_form (uncorrected): 0.044 eV per atom
total magnetic moment: 0.0 Bohr magnetons per cell
energy relative to the lowest polymorph listed for this composition: 0 meV per atom

Cell lengths 5.314, 5.314, 5.867 Å; angles 90.00, 90.00, 90.00 degrees
Atoms (fractional coordinates):
Li: 0.000 0.000 0.000
Si: 0.500 0.500 0.500
Te: 0.000 0.500 0.500
Te: 0.500 0.000 0.500
I: 0.500 0.500 0.000



Material: BeSi2Au2
Method: DFT, PBE
State: relaxed

## Properties
E_form (uncorrected): 0.237 eV per atom
total magnetic moment: 0.0 Bohr magnetons per cell

Cell lengths 5.910, 5.910, 4.706 Å; angles 90.00, 90.00, 90.00 degrees
Atoms (fractional coordinates):
Be: 0.000 0.000 0.000
Be: 0.500 0.500 0.000
Si: 0.142 0.358 0.000
Si: 0.358 0.858 0.000
Si: 0.642 0.142 0.000
Si: 0.858 0.642 0.000
Au: 0.245 0.255 0.500
Au: 0.255 0.755 0.500
Au: 0.745 0.245 0.500
Au: 0.755 0.745 0.500



Material: SmP2Rh5Au
Method: DFT, PBE
State: relaxed

## Properties
total magnetic moment: 0.0 Bohr magnetons per cell
E_form: -0.44 eV per atom

Cell lengths 4.006, 4.006, 10.352 Å; angles 90.00, 90.00, 90.00 degrees
Atoms (fractional coordinates):
Sm: 0.000 0.000 0.000
P: 0.500 0.500 0.219
P: 0.500 0.500 0.781
Rh: 0.000 0.500 0.321
Rh: 0.000 0.500 0.679
Rh: 0.500 0.000 0.321
Rh: 0.500 0.000 0.679
Rh: 0.500 0.500 0.000
Au: 0.000 0.000 0.500



Material: ThSi2MoW
Method: DFT, PBE
State: relaxed

## Properties
E_form (uncorrected): -0.420 eV per atom
total magnetic moment: 0.0 Bohr magnetons per cell

Cell lengths 6.276, 6.276, 6.276 Å; angles 142.12, 142.12, 54.65 degrees
Atoms (fractional coordinates):
Th: 0.000 0.000 0.000
Si: 0.388 0.388 0.000
Si: 0.612 0.612 0.000
Mo: 0.250 0.750 0.500
W: 0.750 0.250 0.500